! Ba2CaHfFe | Alexandria | PBE | relaxed; values from VASP
&SYSTEM
  ibrav = 0, nat = 5, ntyp = 4
/
ATOMIC_SPECIES
Ba 137.33 Ba.upf
Ca 40.08 Ca.upf
Hf 178.49 Hf.upf
Fe 55.84 Fe.upf
CELL_PARAMETERS angstrom
5.627 0.000 0.000
0.000 5.627 0.000
0.000 0.000 5.550
ATOMIC_POSITIONS crystal
Ba 0.000 0.500 0.000
Ba 0.500 0.000 0.000
Ca 0.000 0.000 0.500
Hf 0.500 0.500 0.500
Fe 0.000 0.000 0.000
! - total magnetization (μB/f.u.) = 0.0
! - D(E_F) (states/eV per cell) = 10.588
! - electronic total energy (eV per atom) = -3.784
! - crystal system = tetragonal
! - SG = No. 123